{"formula": "TaMoP2O", "functional": "PBE+U", "state": "optimized geometry", "lattice": [[4.9474, 0.0000, 0.0000], [0.0000, 4.9474, 0.0000], [0.0000, 0.0000, 3.8363]], "species": ["Ta", "Mo", "P", "P", "O"], "fractional_positions": [[0.0000, 0.0000, 0.0000], [0.5000, 0.5000, 0.5000], [0.0000, 0.5000, 0.0000], [0.5000, 0.0000, 0.0000], [0.0000, 0.0000, 0.5000]], "dft_energy_ev_per_atom": -7.225, "relative_energy_mev_per_atom": 0}